A plane-wave DFT calculation with PBE was carried out for a relaxed structure of CaHfAlNi2.

Cell: 4.518 4.518 5.001 Å, 90.00 90.00 90.00°
Atoms (fractional coordinates):
1 Ca 0.000 0.000 0.000
2 Hf 0.500 0.500 0.000
3 Al 0.500 0.500 0.500
4 Ni 0.000 0.500 0.500
5 Ni 0.500 0.000 0.500

Results
Size of the total moment (Bohr magnetons per cell): 0.00
Volume (Å³ per atom): 20.4
Uncorrected energy (eV/cell): -24.6
Space group: P4/mmm (123)
ΔH_f (0 K) (eV/atom): 0.5367